The following is a DFT calculation (PBE-GGA) of a geometry-optimized LiDySnRh structure.

Lattice parameters (Å, degrees): 6.693 6.693 6.693 90.00 90.00 90.00
Atoms (fractional coordinates):
Li (0.000, 0.000, 0.000)
Li (0.000, 0.500, 0.500)
Li (0.500, 0.000, 0.500)
Li (0.500, 0.500, 0.000)
Dy (0.250, 0.250, 0.750)
Dy (0.250, 0.750, 0.250)
Dy (0.750, 0.250, 0.250)
Dy (0.750, 0.750, 0.750)
Sn (0.250, 0.250, 0.250)
Sn (0.250, 0.750, 0.750)
Sn (0.750, 0.250, 0.750)
Sn (0.750, 0.750, 0.250)
Rh (0.000, 0.000, 0.500)
Rh (0.000, 0.500, 0.000)
Rh (0.500, 0.000, 0.000)
Rh (0.500, 0.500, 0.500)

Results
The value obtained for the electronic total energy is -5.180 eV/atom. For the volume, the calculation gives 18.7 Å³/atom. As for the space group: No. 216. The size of the total moment is 0.000 μB per formula unit. For the density of states at the Fermi level, the calculation gives 4.46 states/eV/f.u.

=====

The following is a DFT calculation (PBE-GGA) of a geometry-optimized CePmGePt structure.

Lattice parameters (Å, degrees): 4.609 4.609 10.564 90.00 90.00 90.00
Atoms (fractional coordinates):
Ce (0.250, 0.250, 0.161)
Ce (0.750, 0.750, 0.839)
Pm (0.250, 0.750, 0.500)
Pm (0.750, 0.250, 0.500)
Ge (0.250, 0.250, 0.893)
Ge (0.750, 0.750, 0.107)
Pt (0.250, 0.250, 0.665)
Pt (0.750, 0.750, 0.335)

Results
The value obtained for the electronic total energy is -5.888 eV/atom. For the volume, the calculation gives 28.0 Å³/atom. As for the space group: No. 129. The size of the total moment is 0.958 μB per formula unit. For the density of states at the Fermi level, the calculation gives 9.72 states/eV/f.u.

=====

The following is a DFT calculation (PBE-GGA) of a geometry-optimized La5Pr3Nd3 structure.

Lattice parameters (Å, degrees): 9.799 9.799 5.824 90.00 90.00 120.00
Atoms (fractional coordinates):
La (0.000, 0.729, 0.000)
La (0.271, 0.271, 0.000)
La (0.333, 0.667, 0.000)
La (0.667, 0.333, 0.000)
La (0.729, 0.000, 0.000)
Pr (0.000, 0.464, 0.500)
Pr (0.464, 0.000, 0.500)
Pr (0.536, 0.536, 0.500)
Nd (0.000, 0.367, 0.000)
Nd (0.367, 0.000, 0.000)
Nd (0.633, 0.633, 0.000)

Results
The value obtained for the electronic total energy is -4.209 eV/atom. For the volume, the calculation gives 44.0 Å³/atom. As for the space group: No. 189. The size of the total moment is 0.000 μB per formula unit. For the density of states at the Fermi level, the calculation gives 17.38 states/eV/f.u.

=====

The following is a DFT calculation (PBE-GGA) of a geometry-optimized Sc2AgTe2 structure.

Lattice parameters (Å, degrees): 7.887 7.887 3.855 90.00 90.00 90.00
Atoms (fractional coordinates):
Sc (0.143, 0.357, 0.000)
Sc (0.357, 0.857, 0.000)
Sc (0.643, 0.143, 0.000)
Sc (0.857, 0.643, 0.000)
Ag (0.000, 0.000, 0.000)
Ag (0.500, 0.500, 0.000)
Te (0.155, 0.655, 0.500)
Te (0.345, 0.155, 0.500)
Te (0.655, 0.845, 0.500)
Te (0.845, 0.345, 0.500)

Results
The value obtained for the electronic total energy is -5.113 eV/atom. For the volume, the calculation gives 24.0 Å³/atom. As for the space group: No. 127. The size of the total moment is 0.891 μB per formula unit. For the density of states at the Fermi level, the calculation gives 1.46 states/eV/f.u.

=====

The following is a DFT calculation (PBE-GGA) of a geometry-optimized Cd6Ag structure.

Lattice parameters (Å, degrees): 5.663 5.663 10.225 90.00 90.00 90.00
Atoms (fractional coordinates):
Cd (0.070, 0.570, 0.140)
Cd (0.070, 0.930, 0.860)
Cd (0.250, 0.250, 0.363)
Cd (0.250, 0.250, 0.637)
Cd (0.430, 0.570, 0.860)
Cd (0.430, 0.930, 0.140)
Cd (0.570, 0.070, 0.860)
Cd (0.570, 0.430, 0.140)
Cd (0.750, 0.750, 0.363)
Cd (0.750, 0.750, 0.637)
Cd (0.930, 0.070, 0.140)
Cd (0.930, 0.430, 0.860)
Ag (0.250, 0.750, 0.500)
Ag (0.750, 0.250, 0.500)

Results
The value obtained for the electronic total energy is -1.092 eV/atom. For the volume, the calculation gives 23.4 Å³/atom. As for the space group: No. 125. The size of the total moment is 0.000 μB per formula unit. For the density of states at the Fermi level, the calculation gives 2.23 states/eV/f.u.

=====

The following is a DFT calculation (PBE-GGA) of a geometry-optimized ErMgZr structure.

Lattice parameters (Å, degrees): 3.354 3.354 13.538 90.00 90.00 90.00
Atoms (fractional coordinates):
Er (0.000, 0.000, 0.000)
Er (0.500, 0.500, 0.500)
Mg (0.000, 0.000, 0.679)
Mg (0.500, 0.500, 0.179)
Zr (0.000, 0.000, 0.337)
Zr (0.500, 0.500, 0.837)

Results
The value obtained for the electronic total energy is -4.911 eV/atom. For the volume, the calculation gives 25.4 Å³/atom. As for the space group: No. 107. The size of the total moment is 0.000 μB per formula unit. For the density of states at the Fermi level, the calculation gives 1.77 states/eV/f.u.

=====

The following is a DFT calculation (PBE-GGA) of a geometry-optimized TbZnCd2 structure.

Lattice parameters (Å, degrees): 4.375 4.375 4.776 90.00 90.00 90.00
Atoms (fractional coordinates):
Tb (0.000, 0.000, 0.000)
Zn (0.500, 0.500, 0.000)
Cd (0.000, 0.500, 0.500)
Cd (0.500, 0.000, 0.500)

Results
The value obtained for the electronic total energy is -2.156 eV/atom. For the volume, the calculation gives 22.9 Å³/atom. As for the space group: No. 123. The size of the total moment is 0.000 μB per formula unit. For the density of states at the Fermi level, the calculation gives 2.34 states/eV/f.u.

=====

The following is a DFT calculation (PBE-GGA) of a geometry-optimized FeB2Ru structure.

Lattice parameters (Å, degrees): 5.418 5.418 5.427 90.00 90.00 90.00
Atoms (fractional coordinates):
Fe (0.000, 0.000, 0.000)
Fe (0.000, 0.500, 0.250)
Fe (0.500, 0.000, 0.750)
Fe (0.500, 0.500, 0.500)
B (0.235, 0.250, 0.125)
B (0.250, 0.735, 0.375)
B (0.250, 0.765, 0.875)
B (0.265, 0.250, 0.625)
B (0.735, 0.750, 0.625)
B (0.750, 0.235, 0.875)
B (0.750, 0.265, 0.375)
B (0.765, 0.750, 0.125)
Ru (0.000, 0.000, 0.500)
Ru (0.000, 0.500, 0.750)
Ru (0.500, 0.000, 0.250)
Ru (0.500, 0.500, 0.000)

Results
The value obtained for the electronic total energy is -7.507 eV/atom. For the volume, the calculation gives 10.0 Å³/atom. As for the space group: No. 122. The size of the total moment is 1.569 μB per formula unit. For the density of states at the Fermi level, the calculation gives 2.27 states/eV/f.u.

=====

Look up the volume of the fourth one.
24.0 Å³/atom

=====

Look up the electronic total energy of the fourth one.
-5.113 eV/atom

=====

Among the records above, which one has the lowest volume?
FeB2Ru

=====

Among the records above, which one has the lowest electronic total energy?
FeB2Ru